No. 1
MnCr2W | the Alexandria database | GGA-PBE | relaxed; ρ = 10.969 g cm⁻³; DFT formation energy = 1.584 eV/f.u.; polymorph energy (0 for the lowest one) = 316 meV per atom; total magnetic moment = 0.000 Bohr magnetons per cell; E_tot = -9.95 eV/atom
1.0
1.320 0.762 8.597
-1.320 0.762 8.597
0.000 -1.524 8.597
Mn Cr W
1 2 1
Cartesian
0.000 0.000 0.000
0.000 0.000 6.643
0.000 0.000 19.148
0.000 0.000 12.896

=====

No. 2
GaPt3O8 | the Alexandria database | GGA-PBE | relaxed; ρ = 7.893 g cm⁻³; ΔE_f (raw) = -0.6714 eV per atom; total magnetic moment = 0.999 Bohr magnetons per cell; E_tot = -5.74 eV/atom
1.0
5.154 -3.126 0.000
5.154 3.126 0.000
-3.380 0.000 5.113
Ga Pt O
1 3 8
Cartesian
0.000 0.000 0.000
0.887 1.563 2.556
0.887 -1.563 2.556
5.154 0.000 0.000
1.489 0.000 1.406
2.370 1.552 3.945
0.265 0.000 3.726
4.558 1.552 1.168
2.370 -1.552 3.945
6.662 0.000 1.386
4.558 -1.552 1.168
5.439 0.000 3.707

=====

No. 3
Sm3HoTm5 | the Alexandria database | GGA-PBE | relaxed; ρ = 7.542 g cm⁻³; DFT formation energy = 4.837 eV/f.u.; polymorph energy (0 for the lowest one) = 358 meV per atom; total magnetic moment = 0.000 Bohr magnetons per cell; E_tot = -4.03 eV/atom
1.0
7.616 -5.593 0.000
7.616 5.593 0.000
-6.523 0.000 7.549
Sm Ho Tm
6 2 10
Cartesian
0.000 0.000 0.000
-1.848 0.000 2.312
6.360 0.000 1.003
4.355 0.000 3.775
2.350 0.000 6.546
10.558 0.000 5.237
3.152 0.000 0.786
5.558 0.000 6.763
0.324 2.794 5.643
-1.458 0.000 5.471
4.355 2.916 3.775
1.198 0.000 3.527
8.386 2.794 1.906
0.324 -2.794 5.643
7.512 0.000 4.022
4.355 -2.916 3.775
10.168 0.000 2.078
8.386 -2.794 1.906

=====

No. 4
Rb4Dy3TmTe8 | the Alexandria database | GGA-PBE | relaxed; ρ = 5.552 g cm⁻³; ΔE_f (raw) = -1.3774 eV per atom; total magnetic moment = 0.000 Bohr magnetons per cell; E_tot = -4.33 eV/atom
1.0
4.515 2.607 8.551
-4.515 2.607 8.551
0.000 -5.213 8.551
Rb Dy Tm Te
4 3 1 8
Cartesian
0.000 0.000 0.000
-2.258 -1.303 8.551
-2.258 1.303 17.102
0.000 2.607 8.551
-4.515 0.000 12.827
-2.258 1.303 4.276
2.258 1.303 4.276
0.000 0.000 12.827
0.000 0.000 5.981
-2.240 -1.294 14.522
0.000 -2.587 11.131
-2.240 1.294 11.131
2.240 -1.294 14.522
0.000 2.587 14.522
2.240 1.294 11.131
0.000 0.000 19.672

=====

No. 5
Tb7Sn5Bi | the Alexandria database | GGA-PBE | relaxed; ρ = 8.447 g cm⁻³; DFT formation energy = -6.645 eV/f.u.; total magnetic moment = 0.000 Bohr magnetons per cell; E_tot = -4.84 eV/atom
1.0
-3.125 5.669 5.312
3.125 -5.669 5.312
3.125 5.669 -5.312
Tb Sn Bi
7 5 1
Cartesian
0.000 0.000 0.000
3.125 1.896 1.232
0.000 0.000 4.150
0.000 3.815 1.085
0.000 7.523 1.085
0.000 5.669 3.747
0.000 3.773 6.544
1.570 2.767 -1.471
4.680 2.767 -1.471
3.125 0.000 3.790
-1.555 2.902 3.841
1.555 2.902 3.841
0.000 0.000 7.262

=====

No. 6
Sr4Bi2I3 | the Alexandria database | GGA-PBE | relaxed; ρ = 4.747 g cm⁻³; ΔE_f (raw) = -1.2337 eV per atom; total magnetic moment = 0.002 Bohr magnetons per cell; E_tot = -3.36 eV/atom
1.0
4.142 -2.392 0.000
4.142 2.392 0.000
-0.010 0.000 20.286
Sr Bi I
4 2 3
Cartesian
0.002 0.000 6.304
2.762 0.000 2.338
5.512 0.000 17.948
8.272 0.000 13.981
2.749 0.000 16.112
5.524 0.000 4.174
0.000 0.000 0.000
2.764 0.000 8.107
5.510 0.000 12.178

=====

No. 7
BeHg4Pt | the Alexandria database | GGA-PBE | relaxed; ρ = 13.055 g cm⁻³; DFT formation energy = 4.627 eV/f.u.; total magnetic moment = 0.000 Bohr magnetons per cell; E_tot = -1.06 eV/atom
1.0
0.000 4.000 4.000
4.000 0.000 4.000
4.000 4.000 0.000
Be Hg Pt
1 4 1
Cartesian
0.000 0.000 0.000
4.999 3.001 3.001
3.001 4.999 3.001
3.001 3.001 4.999
4.999 4.999 4.999
2.000 2.000 2.000

=====

No. 8
BaLiTe | the Alexandria database | GGA-PBE | relaxed; ρ = 4.694 g cm⁻³; ΔE_f (raw) = -1.1238 eV per atom; polymorph energy (0 for the lowest one) = 0 meV per atom; total magnetic moment = 0.924 Bohr magnetons per cell; E_tot = -3.45 eV/atom
1.0
4.731 0.000 0.000
-2.366 4.097 0.000
0.000 0.000 4.961
Ba Li Te
1 1 1
Cartesian
0.000 0.000 0.000
2.366 1.366 2.481
0.000 2.732 2.481

=====

No. 9
UReSiTc | the Alexandria database | GGA-PBE | relaxed; ρ = 13.714 g cm⁻³; ΔE_f (raw) = -0.0090 eV per atom; total magnetic moment = 0.709 Bohr magnetons per cell; E_tot = -9.89 eV/atom
1.0
0.000 3.218 3.218
3.218 0.000 3.218
3.218 3.218 0.000
U Re Si Tc
1 1 1 1
Cartesian
0.000 0.000 0.000
4.827 4.827 4.827
3.218 3.218 3.218
1.609 1.609 1.609

=====

No. 10
CsTl2Cd3 | the Alexandria database | GGA-PBE | relaxed; ρ = 7.074 g cm⁻³; DFT formation energy = -0.256 eV/f.u.; total magnetic moment = 0.000 Bohr magnetons per cell; E_tot = -1.43 eV/atom
1.0
9.562 -2.575 0.000
9.562 2.575 0.000
-3.634 0.000 8.381
Cs Tl Cd
2 4 6
Cartesian
2.725 0.000 0.634
12.765 0.000 7.747
0.980 0.000 5.434
5.993 0.000 6.733
9.497 0.000 1.648
14.510 0.000 2.947
-1.016 0.000 2.912
3.907 0.000 4.474
6.671 0.000 2.966
8.819 0.000 5.415
11.583 0.000 3.907
16.506 0.000 5.469

=====

No. 11
HfCdHg2 | the Alexandria database | GGA-PBE | relaxed; ρ = 11.940 g cm⁻³; DFT formation energy = 1.110 eV/f.u.; total magnetic moment = 0.000 Bohr magnetons per cell; E_tot = -2.59 eV/atom
1.0
1.589 0.917 11.009
-1.589 0.917 11.009
0.000 -1.834 11.009
Hf Cd Hg
1 1 2
Cartesian
0.000 0.000 0.000
0.000 0.000 16.513
0.000 0.000 2.894
0.000 0.000 30.132

=====

No. 12
SrDyPdRh | the Alexandria database | GGA-PBE | relaxed; ρ = 8.504 g cm⁻³; DFT formation energy = -2.183 eV/f.u.; total magnetic moment = 0.000 Bohr magnetons per cell; E_tot = -5.25 eV/atom
1.0
0.000 3.553 3.553
3.553 0.000 3.553
3.553 3.553 0.000
Sr Dy Pd Rh
1 1 1 1
Cartesian
0.000 0.000 0.000
3.553 3.553 3.553
1.777 1.777 1.777
5.330 5.330 5.330